Entry 1:
# Be4AlW

A PBEsol-optimized structure of Be4AlW (meta-GGA SCAN, the Alexandria database).

Lattice parameters (Å, degrees): 4.413 4.413 4.413 60.00 60.00 60.00
Site moments in Bohr magnetons follow the coordinates.
Element x y z (fractional)
Be: 0.621 0.621 0.136  0.01
Be: 0.136 0.621 0.621  0.01
Be: 0.621 0.136 0.621  0.01
Be: 0.621 0.621 0.621  0.01
Al: 0.000 0.000 0.000  0.01
W: 0.250 0.250 0.250  0.38

- Formation energy from the elements: 0.0065 eV per atom
- Crystal system: cubic


Entry 2:
# Be2NiW

A PBEsol-optimized structure of Be2NiW (meta-GGA SCAN, the Alexandria database).

Lattice parameters (Å, degrees): 2.623 3.985 4.704 115.06 106.19 90.00
Element x y z (fractional)
Ni: 0.478 0.478 0.956
W: 0.254 0.754 0.507
Be: 0.024 0.024 0.047
Be: 0.745 0.245 0.489

- Formation energy from the elements: 0.0572 eV per atom
- Crystal system: orthorhombic
- Offset from the most stable computed form: 24 meV/atom


Entry 3:
# Sr2Hg2Te

A PBEsol-optimized structure of Sr2Hg2Te (meta-GGA SCAN, the Alexandria database).

Lattice parameters (Å, degrees): 6.020 6.376 6.020 118.17 90.00 118.17
Element x y z (fractional)
Sr: 0.250 0.500 0.750
Sr: 0.750 0.500 0.250
Te: 0.000 0.000 0.000
Hg: 0.355 0.711 0.355
Hg: 0.645 0.289 0.645

- Crystal system: tetragonal
- E_form (uncorrected): -0.624 eV/atom


Entry 4:
# CaHgPb2

A PBEsol-optimized structure of CaHgPb2 (meta-GGA SCAN, the Alexandria database).

Lattice parameters (Å, degrees): 5.401 5.401 5.401 60.00 60.00 60.00
Element x y z (fractional)
Pb: 0.000 0.000 0.000
Pb: 0.750 0.750 0.750
Ca: 0.500 0.500 0.500
Hg: 0.250 0.250 0.250

- Formation energy from the elements: -0.4061 eV per atom
- Crystal system: cubic


Entry 5:
# Li6ZrBeF12

A PBEsol-optimized structure of Li6ZrBeF12 (meta-GGA SCAN, the Alexandria database).

Lattice parameters (Å, degrees): 6.552 6.552 10.293 108.56 108.56 90.00
Element x y z (fractional)
Li: 0.022 0.522 0.044
Li: 0.125 0.641 0.750
Li: 0.478 0.978 0.956
Li: 0.625 0.109 0.750
Li: 0.359 0.875 0.250
Li: 0.625 0.641 0.750
Li: 0.359 0.375 0.250
Li: 0.891 0.375 0.250
Li: 0.125 0.109 0.750
Li: 0.891 0.875 0.250
Li: 0.772 0.772 0.544
Li: 0.228 0.228 0.456
Zr: 0.750 0.250 0.500
Zr: 0.500 0.500 0.000
Be: 0.000 0.000 0.000
Be: 0.250 0.750 0.500
F: 0.051 0.244 0.102
F: 0.756 0.949 0.898
F: 0.107 0.801 0.602
F: 0.548 0.834 0.095
F: 0.355 0.585 0.169
F: 0.436 0.165 0.331
F: 0.415 0.186 0.831
F: 0.835 0.564 0.669
F: 0.415 0.645 0.831
F: 0.702 0.916 0.405
F: 0.835 0.105 0.669
F: 0.548 0.262 0.095
F: 0.143 0.949 0.898
F: 0.199 0.893 0.398
F: 0.702 0.488 0.405
F: 0.494 0.801 0.602
F: 0.199 0.506 0.398
F: 0.051 0.857 0.102
F: 0.814 0.585 0.169
F: 0.895 0.165 0.331
F: 0.166 0.452 0.905
F: 0.738 0.452 0.905
F: 0.512 0.298 0.595
F: 0.084 0.298 0.595

- Crystal system: tetragonal
- E_form (uncorrected): -3.431 eV/atom


Entry 6:
# SrCrH3

A PBEsol-optimized structure of SrCrH3 (meta-GGA SCAN, the Alexandria database).

Lattice parameters (Å, degrees): 3.822 3.822 3.822 90.00 90.00 90.00
Site moments in Bohr magnetons follow the coordinates.
Element x y z (fractional)
Sr: 0.500 0.500 0.500  0.04
H: 0.000 0.500 0.000  -0.03
H: 0.000 0.000 0.500  -0.03
H: 0.500 0.000 0.000  -0.03
Cr: 0.000 0.000 0.000  3.74

- DFT total energy: -52.70 eV/cell
- Crystal system: cubic


no.,ρ (Mg/m³)
1,6.7
2,10.2
3,6.8
4,9.8
5,3.1
6,4.2